DFT (PBE-GGA) results for a geometry-optimized ScSi2Pd structure.

space-group type = P4/mmm
density = 5.52 g cm⁻³
formation energy without anion corrections = -556.2 meV per atom

```
ScSi2Pd
1.0
3.884 0.000 0.000
0.000 4.009 0.000
0.000 0.000 4.009
Pd Sc Si
1 1 2
Cartesian
1.942 0.000 0.000
1.942 2.005 2.005
0.000 2.005 0.000
0.000 0.000 2.005
```

---

DFT (PBE-GGA) results for a geometry-optimized RbLa2SeS structure.

space-group type = P4/mmm
density = 4.35 g cm⁻³
formation energy without anion corrections = -824.5 meV per atom

```
RbLa2SeS
1.0
5.455 0.000 0.000
0.000 6.084 0.000
0.000 0.000 5.455
Se Rb S La
1 1 1 2
Cartesian
2.728 3.042 2.728
0.000 3.042 0.000
0.000 0.000 0.000
0.000 0.000 2.728
2.728 0.000 0.000
```

---

DFT (PBE-GGA) results for a geometry-optimized Ca2CdTc structure.

space-group type = F-43m
density = 5.17 g cm⁻³
calculated total energy = -13.57 eV/cell

```
Ca2CdTc
1.0
5.090 0.000 0.000
2.545 4.408 0.000
2.545 1.469 4.156
Ca Tc Cd
2 1 1
Cartesian
2.545 1.469 1.039
0.000 0.000 0.000
7.635 4.408 3.117
5.090 2.939 2.078
```

---

DFT (PBE-GGA) results for a geometry-optimized LaTl3Mo structure.

space-group type = Pm-3m
energy above the most stable polymorph in this dataset = 1132 meV per atom
density = 6.30 g cm⁻³

```
LaTl3Mo
1.0
6.069 0.000 0.000
0.000 6.069 0.000
0.000 0.000 6.069
La Tl Mo
1 3 1
Cartesian
0.000 0.000 0.000
0.000 3.035 0.000
0.000 0.000 3.035
3.035 0.000 0.000
3.035 3.035 3.035
```

---

DFT (PBE-GGA) results for a geometry-optimized CoRh2W structure.

space-group type = P4/mmm
energy above the most stable polymorph in this dataset = 100 meV per atom
density = 13.30 g cm⁻³

```
CoRh2W
1.0
2.758 0.000 0.000
0.000 2.758 0.000
0.000 0.000 7.366
Rh Co W
2 1 1
Cartesian
0.000 0.000 7.294
0.000 0.000 3.755
1.379 1.379 5.525
1.379 1.379 1.842
```

---

DFT (PBE-GGA) results for a geometry-optimized Li2SmCd2 structure.

space-group type = C2/m
energy above the most stable polymorph in this dataset = 0 meV per atom
density = 6.11 g cm⁻³

```
Li2SmCd2
1.0
-0.766 -5.597 0.538
3.676 -4.146 -1.223
2.596 -3.560 3.616
Li Cd Sm
2 2 1
Cartesian
2.294 -5.554 1.211
3.213 -7.749 1.721
1.208 -2.909 0.649
4.299 -10.394 2.282
0.000 0.000 0.000
```

---

DFT (PBE-GGA) results for a geometry-optimized PmB2Rh8 structure.

space-group type = P4/mmm
density = 8.53 g cm⁻³
calculated total energy = -73.94 eV/cell

```
PmB2Rh8
1.0
5.254 0.000 0.000
0.000 5.254 0.000
0.000 0.000 6.977
Rh B Pm
8 2 1
Cartesian
1.285 3.969 1.289
3.969 3.969 1.289
3.969 1.285 5.688
1.285 1.285 5.688
3.969 3.969 5.688
1.285 1.285 1.289
3.969 1.285 1.289
1.285 3.969 5.688
2.627 0.000 0.000
0.000 2.627 0.000
2.627 2.627 3.488
```

---

DFT (PBE-GGA) results for a geometry-optimized CeSmErN3 structure.

space-group type = P2_1/m
density = 8.72 g cm⁻³
formation energy without anion corrections = -1350.0 meV per atom

```
CeSmErN3
1.0
3.399 0.000 0.000
0.000 5.909 0.637
0.000 -1.672 9.298
N Er Sm Ce
6 2 2 2
Cartesian
0.850 4.407 8.561
0.850 3.677 5.635
2.550 2.791 1.816
2.550 -0.170 1.374
0.850 1.445 8.119
2.550 0.559 4.301
2.550 -0.155 8.942
0.850 4.392 0.994
0.850 0.116 5.897
2.550 4.120 4.039
0.850 1.188 2.598
2.550 3.049 7.337
```